No. 1
The following is a DFT calculation (PBE) of a relaxed structure of CaSnSCl2.

Cell: 5.3008 5.3008 5.4368 Å, 90.00 90.00 90.00°
With the nearest neighbours (Å) after each atom.
Element x y z (fractional)
Ca: 0.5000 0.5000 0.5000  4 S 3.75, 8 Cl 3.80
Cl: 0.0000 0.5000 0.0000  2 Sn 2.65
Sn: 0.0000 0.0000 0.0000  4 Cl 2.65, 2 S 2.72
S: 0.0000 0.0000 0.5000  2 Sn 2.72
Cl: 0.5000 0.0000 0.0000  2 Sn 2.65

Space-group type   P4/mmm
Crystal system   tetragonal
DOS at the Fermi energy   0.890 states/eV/f.u.
Uncorrected formation energy   -4.40 eV per formula unit

=====

No. 2
The following is a DFT calculation (PBE) of a relaxed structure of SrCaS2Cl.

Cell: 5.4796 5.4796 5.3926 Å, 90.00 90.00 90.00°
With the nearest neighbours (Å) after each atom.
Element x y z (fractional)
Cl: 0.0000 0.0000 0.5000  2 Sr 2.70
S: 0.5000 0.0000 0.0000  2 Sr 2.74
S: 0.0000 0.5000 0.0000  2 Sr 2.74
Sr: 0.0000 0.0000 0.0000  2 Cl 2.70, 4 S 2.74
Ca: 0.5000 0.5000 0.5000  8 S 3.84, 4 Cl 3.87

Space-group type   P4/mmm
Crystal system   tetragonal
DOS at the Fermi energy   3.545 states/eV/f.u.
Uncorrected formation energy   -5.51 eV per formula unit

=====

No. 3
The following is a DFT calculation (PBE) of a relaxed structure of SrCaS2Cl.

Cell: 5.0196 5.0196 7.1564 Å, 90.00 90.00 90.00°
With the nearest neighbours (Å) after each atom.
Element x y z (fractional)
Ca: 0.0000 0.0000 0.0000  4 S 2.51
S: 0.5000 0.0000 0.0000  2 Ca 2.51
Cl: 0.5000 0.5000 0.5000  4 Sr 3.55
S: 0.0000 0.5000 0.0000  2 Ca 2.51
Sr: 0.0000 0.0000 0.5000  4 Cl 3.55, 2 Ca 3.58

Space-group type   P4/mmm
Crystal system   tetragonal
DOS at the Fermi energy   3.507 states/eV/f.u.
Uncorrected formation energy   -3.83 eV per formula unit

=====

No. 4
The following is a DFT calculation (PBE) of a relaxed structure of SrCaS2Cl.

Cell: 5.2353 5.2353 5.2257 Å, 90.00 90.00 90.00°
With the nearest neighbours (Å) after each atom.
Element x y z (fractional)
Cl: 0.0000 0.0000 0.5000  2 Ca 2.61
S: 0.0000 0.5000 0.0000  2 Ca 2.62
Ca: 0.0000 0.0000 0.0000  2 Cl 2.61, 4 S 2.62
Sr: 0.5000 0.5000 0.5000  8 S 3.70, 4 Cl 3.70
S: 0.5000 0.0000 0.0000  2 Ca 2.62

Space-group type   P4/mmm
Crystal system   tetragonal
DOS at the Fermi energy   3.027 states/eV/f.u.
Uncorrected formation energy   -7.36 eV per formula unit

=====

No. 5
The following is a DFT calculation (PBE) of a relaxed structure of Sr2CaS2Cl2.

Cell: 5.2822 5.2822 8.3356 Å, 108.47 108.47 90.00°
With the nearest neighbours (Å) after each atom.
Element x y z (fractional)
Sr: 0.3820 0.3820 0.7640  1 Cl 2.83
Cl: 0.1925 0.1925 0.3849  1 Sr 2.83, 1 Ca 2.87
Sr: 0.6180 0.6180 0.2360  1 Cl 2.83
Cl: 0.8075 0.8075 0.6151  1 Sr 2.83, 1 Ca 2.87
S: 0.0000 0.5000 0.0000  2 Ca 2.64
S: 0.5000 0.0000 0.0000  2 Ca 2.64
Ca: 0.0000 0.0000 0.0000  4 S 2.64, 2 Cl 2.87

Space-group type   I4/mmm
Crystal system   tetragonal
DOS at the Fermi energy   0.000 states/eV/f.u.
Uncorrected formation energy   -14.66 eV per formula unit

=====

No. 6
The following is a DFT calculation (PBE) of a relaxed structure of CaTeSCl2.

Cell: 5.0717 5.0717 5.8546 Å, 90.00 90.00 90.00°
With the nearest neighbours (Å) after each atom.
Element x y z (fractional)
Cl: 0.0000 0.5000 0.0000  2 Ca 2.54
Cl: 0.5000 0.0000 0.0000  2 Ca 2.54
S: 0.0000 0.0000 0.5000  2 Ca 2.93
Ca: 0.0000 0.0000 0.0000  4 Cl 2.54
Te: 0.5000 0.5000 0.5000  4 S 3.59, 8 Cl 3.87

Space-group type   P4/mmm
Crystal system   tetragonal
DOS at the Fermi energy   2.624 states/eV/f.u.
Uncorrected formation energy   -3.33 eV per formula unit

=====

No. 7
The following is a DFT calculation (PBE) of a relaxed structure of CaTeSCl2.

Cell: 5.4254 5.4254 5.2904 Å, 90.00 90.00 90.00°
With the nearest neighbours (Å) after each atom.
Element x y z (fractional)
Cl: 0.5000 0.0000 0.0000  2 Te 2.71
Te: 0.0000 0.0000 0.0000  2 S 2.65, 4 Cl 2.71
Ca: 0.5000 0.5000 0.5000  8 Cl 3.79, 4 S 3.84
Cl: 0.0000 0.5000 0.0000  2 Te 2.71
S: 0.0000 0.0000 0.5000  2 Te 2.65

Space-group type   P4/mmm
Crystal system   tetragonal
DOS at the Fermi energy   2.691 states/eV/f.u.
Uncorrected formation energy   -2.56 eV per formula unit

=====

No. 8
The following is a DFT calculation (PBE) of a relaxed structure of CaTiSCl2.

Cell: 5.0446 5.0446 5.5471 Å, 90.00 90.00 90.00°
With the nearest neighbours (Å) after each atom.
Element x y z (fractional)
S: 0.0000 0.0000 0.5000  2 Ca 2.77
Ti: 0.5000 0.5000 0.5000  4 S 3.57, 8 Cl 3.75
Cl: 0.5000 0.0000 0.0000  2 Ca 2.52
Ca: 0.0000 0.0000 0.0000  4 Cl 2.52, 2 S 2.77
Cl: 0.0000 0.5000 0.0000  2 Ca 2.52

Space-group type   P4/mmm
Crystal system   tetragonal
DOS at the Fermi energy   4.866 states/eV/f.u.
Uncorrected formation energy   -3.70 eV per formula unit

=====

No. 9
The following is a DFT calculation (PBE) of a relaxed structure of CaTiSCl2.

Cell: 4.7818 4.7818 4.8773 Å, 90.00 90.00 90.00°
With the nearest neighbours (Å) after each atom.
Element x y z (fractional)
S: 0.0000 0.0000 0.5000  2 Ti 2.44
Cl: 0.5000 0.0000 0.0000  2 Ti 2.39
Ca: 0.5000 0.5000 0.5000  4 S 3.38, 8 Cl 3.42
Cl: 0.0000 0.5000 0.0000  2 Ti 2.39
Ti: 0.0000 0.0000 0.0000  4 Cl 2.39, 2 S 2.44

Space-group type   P4/mmm
Crystal system   tetragonal
DOS at the Fermi energy   2.954 states/eV/f.u.
Uncorrected formation energy   -6.74 eV per formula unit

=====

No. 10
The following is a DFT calculation (PBE) of a relaxed structure of CaVSCl2.

Cell: 5.0653 5.0653 5.5388 Å, 90.00 90.00 90.00°
With the nearest neighbours (Å) after each atom.
Element x y z (fractional)
Ca: 0.0000 0.0000 0.0000  4 Cl 2.53, 2 S 2.77
V: 0.5000 0.5000 0.5000  4 S 3.58, 8 Cl 3.75
Cl: 0.0000 0.5000 0.0000  2 Ca 2.53
Cl: 0.5000 0.0000 0.0000  2 Ca 2.53
S: 0.0000 0.0000 0.5000  2 Ca 2.77

Space-group type   P4/mmm
Crystal system   tetragonal
DOS at the Fermi energy   0.965 states/eV/f.u.
Uncorrected formation energy   -2.77 eV per formula unit

=====

No. 11
The following is a DFT calculation (PBE) of a relaxed structure of CaVSCl2.

Cell: 4.7473 4.7473 5.0011 Å, 90.00 90.00 90.00°
With the nearest neighbours (Å) after each atom.
Element x y z (fractional)
Cl: 0.0000 0.5000 0.0000  2 V 2.37
V: 0.0000 0.0000 0.0000  4 Cl 2.37, 2 S 2.50
Ca: 0.5000 0.5000 0.5000  4 S 3.36, 8 Cl 3.45
Cl: 0.5000 0.0000 0.0000  2 V 2.37
S: 0.0000 0.0000 0.5000  2 V 2.50

Space-group type   P4/mmm
Crystal system   tetragonal
DOS at the Fermi energy   1.225 states/eV/f.u.
Uncorrected formation energy   -6.05 eV per formula unit

=====

No. 12
The following is a DFT calculation (PBE) of a relaxed structure of CaWS2Cl.

Cell: 4.6646 4.6646 5.1069 Å, 90.00 90.00 90.00°
With the nearest neighbours (Å) after each atom.
Element x y z (fractional)
Cl: 0.0000 0.0000 0.5000  2 W 2.55
S: 0.5000 0.0000 0.0000  2 W 2.33
W: 0.0000 0.0000 0.0000  4 S 2.33, 2 Cl 2.55
S: 0.0000 0.5000 0.0000  2 W 2.33
Ca: 0.5000 0.5000 0.5000  4 Cl 3.30, 8 S 3.46

Space-group type   P4/mmm
Crystal system   tetragonal
DOS at the Fermi energy   1.787 states/eV/f.u.
Uncorrected formation energy   -3.30 eV per formula unit

=====

No. 13
The following is a DFT calculation (PBE) of a relaxed structure of CaWS2Cl.

Cell: 5.2523 5.2523 4.9019 Å, 90.00 90.00 90.00°
With the nearest neighbours (Å) after each atom.
Element x y z (fractional)
S: 0.5000 0.0000 0.0000  2 Ca 2.63
Cl: 0.0000 0.0000 0.5000  2 Ca 2.45
W: 0.5000 0.5000 0.5000  8 S 3.59, 4 Cl 3.71
S: 0.0000 0.5000 0.0000  2 Ca 2.63
Ca: 0.0000 0.0000 0.0000  2 Cl 2.45, 4 S 2.63

Space-group type   P4/mmm
Crystal system   tetragonal
DOS at the Fermi energy   3.188 states/eV/f.u.
Uncorrected formation energy   3.29 eV per formula unit

=====

No. 14
The following is a DFT calculation (PBE) of a relaxed structure of CaWSCl2.

Cell: 5.0046 5.0046 5.6285 Å, 90.00 90.00 90.00°
With the nearest neighbours (Å) after each atom.
Element x y z (fractional)
S: 0.0000 0.0000 0.5000  2 Ca 2.81
W: 0.5000 0.5000 0.5000  4 S 3.54, 8 Cl 3.77
Cl: 0.0000 0.5000 0.0000  2 Ca 2.50
Ca: 0.0000 0.0000 0.0000  4 Cl 2.50
Cl: 0.5000 0.0000 0.0000  2 Ca 2.50

Space-group type   P4/mmm
Crystal system   tetragonal
DOS at the Fermi energy   5.800 states/eV/f.u.
Uncorrected formation energy   1.18 eV per formula unit